Arrangement one

Density functional theory data (PBE) for crystalline Ba2H4Rh at its relaxed geometry.

Structure (POSCAR):
```
Ba2H4Rh
1.0
-1.914 3.572 0.094
-1.668 -1.032 5.227
4.630 2.429 1.957
Ba H Rh
2 4 1
direct
0.500 0.500 0.000
0.500 0.000 0.500
0.000 0.783 0.217
0.000 0.217 0.783
0.000 0.217 0.217
0.000 0.783 0.783
0.000 0.000 0.000
```

Output
magnetization	0.0	Bohr magnetons per cell
D(E_F)	1.44	states/eV per cell

Arrangement two

Density functional theory data (PBE) for crystalline Ba2H4Rh at its relaxed geometry.

Structure (POSCAR):
```
Ba2H4Rh
1.0
-2.894 -1.617 1.707
2.201 -2.816 1.063
1.435 1.726 8.139
H Ba Rh
4 2 1
direct
0.500 0.000 0.000
0.193 0.193 0.614
0.000 0.500 0.000
0.807 0.807 0.386
0.366 0.366 0.269
0.634 0.634 0.731
0.000 0.000 0.000
```

Output
magnetization	0.0	Bohr magnetons per cell
D(E_F)	0.24	states/eV per cell

The structure with the most favorable energy is arrangement one; the runner-up is 0.068 eV/atom above it.

Arrangement one

Density functional theory data (PBE) for crystalline BaHRh at its relaxed geometry.

Structure (POSCAR):
```
BaHRh
1.0
-1.670 -1.261 4.748
-1.147 -4.408 -1.557
4.257 -3.903 0.473
Rh H Ba
2 2 2
direct
0.001 0.385 0.803
0.501 0.317 0.940
0.711 0.463 0.648
0.211 0.239 0.095
0.920 0.707 0.159
0.420 0.995 0.584
```

Output
magnetization	0.0	Bohr magnetons per cell
D(E_F)	1.56	states/eV per cell

Arrangement two

Density functional theory data (PBE) for crystalline BaHRh at its relaxed geometry.

Structure (POSCAR):
```
BaHRh
1.0
-2.019 -1.844 2.259
0.687 -4.706 -3.228
4.671 -1.408 3.046
H Ba Rh
2 2 2
direct
0.606 0.935 0.643
0.607 0.435 0.143
0.606 0.935 0.143
0.606 0.435 0.643
0.106 0.935 0.643
0.107 0.435 0.143
```

Output
magnetization	0.0	Bohr magnetons per cell
D(E_F)	0.95	states/eV per cell

The structure with the most favorable energy is arrangement one; the runner-up is 0.068 eV/atom above it.